# VTcNO2, relaxed, DFT PBE with a Hubbard U
# DFT total energy, eV/atom: -7.368
# Density of states at the Fermi level, states/eV/cell: 2.4
# Calculated volume, Å³/f.u.: 56.2
data_VTcNO2
_chemical_formula_sum 'V1 Tc1 N1 O2'
_cell_length_a 3.7255
_cell_length_b 3.7255
_cell_length_c 4.0467
_cell_angle_alpha 90.00
_cell_angle_beta 90.00
_cell_angle_gamma 90.00
_space_group_name_H-M_alt 'P 4/m m m'
_space_group_IT_number 123
_space_group_name_Hall '-P 4 2'
loop_
_atom_site_label
_atom_site_type_symbol
_atom_site_fract_x
_atom_site_fract_y
_atom_site_fract_z
V1 V 0.0000 0.0000 0.0000
Tc1 Tc 0.5000 0.5000 0.5000
N1 N 0.0000 0.0000 0.5000
O1 O 0.0000 0.5000 0.0000